(1)
K3YTi | meta-GGA SCAN | single point on PBEsol structure

Lattice parameters (Å, degrees): 6.666 6.666 6.666 90.00 90.00 90.00
Positions (direct):
K (0.000, 0.000, 0.500)
K (0.000, 0.500, 0.000)
K (0.500, 0.000, 0.000)
Y (0.000, 0.000, 0.000)
Ti (0.500, 0.500, 0.500)

(2)
KTiZn2 | meta-GGA SCAN | single point on PBEsol structure

Lattice parameters (Å, degrees): 4.868 4.868 4.868 60.00 60.00 60.00
Positions (direct):
K (0.000, 0.000, 0.000)
Ti (0.500, 0.500, 0.500)
Zn (0.250, 0.250, 0.250)
Zn (0.750, 0.750, 0.750)

(3)
K2ZrTi | meta-GGA SCAN | single point on PBEsol structure

Lattice parameters (Å, degrees): 5.622 5.622 5.622 60.00 60.00 60.00
Positions (direct):
K (0.250, 0.250, 0.250)
K (0.750, 0.750, 0.750)
Zr (0.000, 0.000, 0.000)
Ti (0.500, 0.500, 0.500)

(4)
KTl5 | meta-GGA SCAN | single point on PBEsol structure

Lattice parameters (Å, degrees): 6.745 6.745 7.688 106.28 106.28 32.22
Positions (direct):
K (0.000, 0.000, 0.000)
Tl (0.000, 0.000, 0.500)
Tl (0.318, 0.318, 0.181)
Tl (0.333, 0.333, 0.644)
Tl (0.667, 0.667, 0.356)
Tl (0.682, 0.682, 0.819)

Going through the records in order, we get raw total energy values of -12.27; -12.24; -14.21; -61.78 eV/atom.
Going through the records in order, we get Fermi-level density of states values of 0.512; 0.699; 1.060; 0.449 states/eV/atom.